First-principles (PBE) data for a geometry-optimized Ho5Al2Ga2 structure, as listed in the Alexandria database.

```
Ho5Al2Ga2
1.0
7.7364 -3.9968 0.0000
7.7364 3.9968 0.0000
0.0000 0.0000 7.3772
Ho Al Ga
10 4 4
direct
0.0000 0.0000 0.0000
0.0427 0.6717 0.6693
0.1717 0.5427 0.1693
0.3283 0.9573 0.6693
0.4573 0.8283 0.1693
0.5000 0.5000 0.5000
0.5427 0.1717 0.8307
0.6717 0.0427 0.3307
0.8283 0.4573 0.8307
0.9573 0.3283 0.3307
0.1239 0.8761 0.3855
0.3761 0.6239 0.8855
0.6239 0.3761 0.1145
0.8761 0.1239 0.6145
0.2081 0.2081 0.0000
0.2919 0.2919 0.5000
0.7081 0.7081 0.5000
0.7919 0.7919 0.0000
```

DFT formation energy	-0.41	eV per atom
mass density	7.41	g/cm3
symmetry	Cmce, No. 64